Entry w
Compound: LiTm2Ag
Source: Alexandria
Functional: PBE
Structure: relaxed

```
data_LiTm2Ag
_space_group_name_H-M_alt 'R -3 m'
_space_group_IT_number 166
_space_group_name_Hall '-R 3 2"'
_cell_length_a 3.3089
_cell_length_b 3.3089
_cell_length_c 33.5171
_cell_angle_alpha 90.00
_cell_angle_beta 90.00
_cell_angle_gamma 120.00
loop_
_atom_site_label
_atom_site_fract_x
_atom_site_fract_y
_atom_site_fract_z
_atom_site_occupancy
Li1 0.0000 0.0000 0.0000 1
Tm1 0.0000 0.0000 0.0943 1
Ag1 0.0000 0.0000 0.5000 1
```



Entry x
Compound: LiTm2Ag
Source: Alexandria
Functional: PBE
Structure: relaxed

```
data_LiTm2Ag
_space_group_name_H-M_alt 'F m -3 m'
_space_group_IT_number 225
_space_group_name_Hall '-F 4 2 3'
_cell_length_a 7.1942
_cell_length_b 7.1942
_cell_length_c 7.1942
_cell_angle_alpha 90.00
_cell_angle_beta 90.00
_cell_angle_gamma 90.00
loop_
_atom_site_label
_atom_site_fract_x
_atom_site_fract_y
_atom_site_fract_z
_atom_site_occupancy
Li1 0.0000 0.0000 0.0000 1
Tm1 0.2500 0.2500 0.2500 1
Ag1 0.0000 0.0000 0.5000 1
```



Which of them is the least stable? Correct choice: entry w.



Entry w
Compound: LiTm2Ag3
Source: Alexandria
Functional: PBE
Structure: relaxed

```
data_LiTm2Ag3
_space_group_name_H-M_alt 'P 1 2/m 1'
_space_group_IT_number 10
_cell_length_a 5.0410
_cell_length_b 3.4241
_cell_length_c 7.7795
_cell_angle_alpha 90.00
_cell_angle_beta 108.61
_cell_angle_gamma 90.00
loop_
_space_group_symop_operation_xyz
'x,y,z'
'-x,-y,-z'
'-x,y,-z'
'x,-y,z'
loop_
_atom_site_label
_atom_site_fract_x
_atom_site_fract_y
_atom_site_fract_z
_atom_site_occupancy
Li1 0.0000 0.0000 0.0000 1
Tm1 0.3300 0.0000 0.6611 1
Ag1 0.1519 0.5000 0.3032 1
Ag2 0.5000 0.5000 0.0000 1
```



Entry x
Compound: LiTm2Ag3
Source: Alexandria
Functional: PBE
Structure: relaxed

```
data_LiTm2Ag3
_space_group_name_H-M_alt 'P -3 m 1'
_space_group_IT_number 164
_space_group_name_Hall '-P 3 2"'
_cell_length_a 4.9450
_cell_length_b 4.9450
_cell_length_c 12.1085
_cell_angle_alpha 90.00
_cell_angle_beta 90.00
_cell_angle_gamma 120.00
loop_
_atom_site_label
_atom_site_fract_x
_atom_site_fract_y
_atom_site_fract_z
_atom_site_occupancy
Li1 0.3333 0.6667 0.1681 1
Tm1 0.0000 0.0000 0.0000 1
Tm2 0.0000 0.0000 0.5000 1
Tm3 0.3333 0.6667 0.6771 1
Ag1 0.0000 0.0000 0.2470 1
Ag2 0.3333 0.6667 0.4187 1
Ag3 0.3333 0.6667 0.9257 1
```



Which of them is the least stable? Correct choice: entry w.



Entry w
Compound: Li2VAg
Source: Alexandria
Functional: PBE
Structure: relaxed

```
data_Li2VAg
_space_group_name_H-M_alt 'R -3 m'
_space_group_IT_number 166
_space_group_name_Hall '-R 3 2"'
_cell_length_a 2.7066
_cell_length_b 2.7066
_cell_length_c 29.9263
_cell_angle_alpha 90.00
_cell_angle_beta 90.00
_cell_angle_gamma 120.00
loop_
_atom_site_label
_atom_site_fract_x
_atom_site_fract_y
_atom_site_fract_z
_atom_site_occupancy
Li1 0.0000 0.0000 0.0868 1
V1 0.0000 0.0000 0.0000 1
Ag1 0.0000 0.0000 0.5000 1
```



Entry x
Compound: Li2VAg
Source: Alexandria
Functional: PBE
Structure: relaxed

```
data_Li2VAg
_space_group_name_H-M_alt 'F m -3 m'
_space_group_IT_number 225
_space_group_name_Hall '-F 4 2 3'
_cell_length_a 6.3562
_cell_length_b 6.3562
_cell_length_c 6.3562
_cell_angle_alpha 90.00
_cell_angle_beta 90.00
_cell_angle_gamma 90.00
loop_
_atom_site_label
_atom_site_fract_x
_atom_site_fract_y
_atom_site_fract_z
_atom_site_occupancy
Li1 0.2500 0.2500 0.2500 1
V1 0.0000 0.0000 0.0000 1
Ag1 0.0000 0.0000 0.5000 1
```



Which of them is the least stable? Correct choice: entry x.



Entry w
Compound: Li2AgW
Source: Alexandria
Functional: PBE
Structure: relaxed

```
data_Li2AgW
_space_group_name_H-M_alt 'P 4/m m m'
_space_group_IT_number 123
_space_group_name_Hall '-P 4 2'
_cell_length_a 4.8416
_cell_length_b 4.8416
_cell_length_c 2.6010
_cell_angle_alpha 90.00
_cell_angle_beta 90.00
_cell_angle_gamma 90.00
loop_
_atom_site_label
_atom_site_fract_x
_atom_site_fract_y
_atom_site_fract_z
_atom_site_occupancy
Li1 0.0000 0.5000 0.0000 1
Ag1 0.0000 0.0000 0.5000 1
W1 0.5000 0.5000 0.5000 1
```



Entry x
Compound: Li2AgW
Source: Alexandria
Functional: PBE
Structure: relaxed

```
data_Li2AgW
_space_group_name_H-M_alt 'I m m m'
_space_group_IT_number 71
_space_group_name_Hall '-I 2 2'
_cell_length_a 2.6540
_cell_length_b 5.0048
_cell_length_c 9.6933
_cell_angle_alpha 90.00
_cell_angle_beta 90.00
_cell_angle_gamma 90.00
loop_
_atom_site_label
_atom_site_fract_x
_atom_site_fract_y
_atom_site_fract_z
_atom_site_occupancy
Li1 0.0000 0.0000 0.2411 1
Ag1 0.0000 0.5000 0.5000 1
W1 0.0000 0.5000 0.0000 1
```



Which of them is the least stable? Correct choice: entry w.